Here is an optimized crystal structure of PrSm9Er2 from Alexandria via LeMat-Bulk. Energies are from PBE.

Summary:
The value obtained for the polymorph energy (0 for the lowest one) is 13 meV per atom. The total energy is -4.67 eV/atom. The value obtained for the density of states at the Fermi level is 13.96 states/eV/f.u. Its symmetry is P6/mmm, No. 191. The spin magnetization is 0.0 μB/f.u.

Unit cell a=3.557 b=11.429 c=11.429 alpha=120.00 beta=90.00 gamma=90.00
Sites, in units of the cell vectors:
Pr 0.000 0.000 0.000
Sm 0.000 0.000 0.500
Sm 0.000 0.500 0.500
Sm 0.000 0.500 0.000
Sm 0.500 0.355 0.177
Sm 0.500 0.177 0.823
Sm 0.500 0.177 0.355
Sm 0.500 0.823 0.645
Sm 0.500 0.823 0.177
Sm 0.500 0.645 0.823
Er 0.000 0.333 0.667
Er 0.000 0.667 0.333